First-principles (GGA-PBE) data for crystalline YTm5Sc3 at its relaxed geometry, as listed in the Alexandria database.

Cell lengths 7.9698, 7.9698, 9.4489 Å; angles 100.14, 100.14, 88.73 degrees
Last column: nearest neighbours and their distance in Å.
Atoms (fractional coordinates):
Y 0.2271 0.2271 0.2234  3 Sc 2.91-3.17, 2 Tm 3.09-3.23
Y 0.7729 0.7729 0.7766  3 Sc 2.91-3.17, 2 Tm 3.09-3.23
Tm 0.1257 0.6234 0.3504  2 Sc 3.17-3.28, 1 Y 3.31, 2 Tm 3.38-3.49
Tm 0.2523 0.2523 0.9051  1 Y 3.09, 1 Tm 3.16, 4 Sc 3.18-3.27
Tm 0.2573 0.7427 0.0000  3 Sc 2.87-3.18
Tm 0.2642 0.2642 0.5740  3 Sc 2.94-3.22, 1 Tm 3.16, 1 Y 3.23
Tm 0.3766 0.8743 0.6496  2 Sc 3.17-3.28, 1 Y 3.31, 2 Tm 3.38-3.49
Tm 0.6234 0.1257 0.3504  2 Sc 3.17-3.28, 1 Y 3.31, 2 Tm 3.38-3.49
Tm 0.7358 0.7358 0.4260  3 Sc 2.94-3.22, 1 Tm 3.16, 1 Y 3.23
Tm 0.7427 0.2573 0.0000  3 Sc 2.87-3.18
Tm 0.7477 0.7477 0.0949  1 Y 3.09, 1 Tm 3.16, 4 Sc 3.18-3.27
Tm 0.8743 0.3766 0.6496  2 Sc 3.17-3.28, 1 Y 3.31, 2 Tm 3.38-3.49
Sc 0.0000 0.0000 0.0000  2 Tm 2.87, 2 Y 2.91
Sc 0.0035 0.0035 0.3444  2 Sc 2.96-3.24, 1 Y 3.04, 4 Tm 3.17-3.27
Sc 0.4919 0.4919 0.1739  2 Sc 3.06-3.34, 1 Y 3.17, 5 Tm 3.18-3.24
Sc 0.5000 0.5000 0.5000  6 Tm 2.94-3.28, 2 Sc 3.06
Sc 0.5081 0.5081 0.8261  2 Sc 3.06-3.34, 1 Y 3.17, 5 Tm 3.18-3.24
Sc 0.9965 0.9965 0.6556  2 Sc 2.96-3.24, 1 Y 3.04, 4 Tm 3.17-3.27

- Calculated density: 6101 kg/m3
- Total energy: -85.92 eV for the cell shown
- Symmetry: C2/m (12)